PBE-GGA NaIn2Bi2, relaxed; theoretical density = 7.1 g/cm3; excess energy over the best structure of this formula in the dataset = 0.035 eV per atom; DOS at the Fermi energy = 4.169 states/eV/cell
1.0
-2.853 6.891 -4.520
-7.836 -0.787 3.746
1.206 2.498 3.048
Na Bi In
2 4 4
Direct
0.000 0.000 0.000 Na
0.500 0.500 0.000 Na
0.355 0.855 0.000 Bi
0.855 0.645 0.000 Bi
0.645 0.145 0.000 Bi
0.145 0.355 0.000 Bi
0.148 0.648 0.500 In
0.648 0.852 0.500 In
0.852 0.352 0.500 In
0.352 0.148 0.500 In

PBE-GGA La3InCo, relaxed; theoretical density = 6.8 g/cm3; excess energy over the best structure of this formula in the dataset = 0.070 eV per atom; DOS at the Fermi energy = 16.706 states/eV/cell
1.0
12.647 0.000 0.756
5.049 5.640 -3.763
-5.049 5.640 3.763
In Co La
4 4 12
Direct
0.750 0.280 0.780 In
0.250 0.720 0.220 In
0.750 0.569 0.069 In
0.250 0.431 0.931 In
0.303 0.148 0.542 Co
0.197 0.042 0.648 Co
0.697 0.852 0.458 Co
0.803 0.958 0.352 Co
0.460 0.230 0.431 La
0.040 0.931 0.730 La
0.540 0.770 0.569 La
0.960 0.069 0.270 La
0.107 0.213 0.147 La
0.393 0.647 0.713 La
0.893 0.787 0.853 La
0.607 0.353 0.287 La
0.576 0.073 0.942 La
0.924 0.442 0.573 La
0.424 0.927 0.058 La
0.076 0.558 0.427 La

PBE-GGA P2RhS6, relaxed; theoretical density = 3.3 g/cm3; formation energy without anion corrections = -0.089 eV per atom; DOS at the Fermi energy = 5.673 states/eV/cell
1.0
-5.208 -0.687 2.847
-2.283 -6.998 -2.877
2.365 -4.109 6.323
P Rh S
4 2 12
Direct
0.208 0.617 0.792 P
0.292 0.208 0.383 P
0.792 0.383 0.208 P
0.708 0.792 0.617 P
0.250 0.107 0.893 Rh
0.750 0.893 0.107 Rh
0.417 0.709 0.559 S
0.083 0.441 0.291 S
0.583 0.291 0.441 S
0.917 0.559 0.709 S
0.868 0.876 0.387 S
0.632 0.613 0.124 S
0.132 0.124 0.613 S
0.368 0.387 0.876 S
0.143 0.816 0.970 S
0.357 0.030 0.184 S
0.857 0.184 0.030 S
0.643 0.970 0.816 S

PBE-GGA In2RhO, relaxed; theoretical density = 8.2 g/cm3; formation energy without anion corrections = -0.524 eV per atom; DOS at the Fermi energy = 2.598 states/eV/cell
1.0
-0.205 -5.982 -2.385
6.189 0.477 -1.729
3.930 -3.987 0.960
Rh O In
2 2 4
Direct
0.000 0.000 0.000 Rh
0.750 0.250 0.500 Rh
0.500 0.500 0.000 O
0.250 0.750 0.500 O
0.571 0.125 0.250 In
0.179 0.625 0.250 In
0.375 0.429 0.750 In
0.875 0.821 0.750 In

PBE-GGA CaTbSm2, relaxed; theoretical density = 6.0 g/cm3; excess energy over the best structure of this formula in the dataset = 0.096 eV per atom; DOS at the Fermi energy = 7.264 states/eV/cell
1.0
5.813 0.000 0.000
2.907 5.034 0.000
2.907 1.678 4.746
Ca Tb Sm
1 1 2
Direct
0.500 0.500 0.500 Ca
0.000 0.000 0.000 Tb
0.250 0.250 0.250 Sm
0.750 0.750 0.750 Sm

PBE-GGA RbBaMo3, relaxed; theoretical density = 6.5 g/cm3; excess energy over the best structure of this formula in the dataset = 0.003 eV per atom; DOS at the Fermi energy = 5.279 states/eV/cell
1.0
5.069 0.000 0.000
0.000 5.069 0.000
0.000 0.000 5.069
Mo Ba Rb
3 1 1
Direct
0.000 0.500 0.000 Mo
0.000 0.000 0.500 Mo
0.500 0.000 0.000 Mo
0.500 0.500 0.500 Ba
0.000 0.000 0.000 Rb

PBE-GGA CsCdTe2I, relaxed; theoretical density = 4.9 g/cm3; excess energy over the best structure of this formula in the dataset = 0.000 eV per atom; formation energy without anion corrections = -0.386 eV per atom; DOS at the Fermi energy = 8.349 states/eV/cell
1.0
-1.647 5.370 0.856
-5.430 -1.576 -0.560
-0.335 -1.127 6.425
Cs I Te Cd
1 1 2 1
Direct
0.500 0.500 0.500 Cs
0.000 0.000 0.500 I
0.000 0.500 0.000 Te
0.500 0.000 0.000 Te
0.000 0.000 0.000 Cd

PBE-GGA PmZn2In, relaxed; theoretical density = 7.6 g/cm3; excess energy over the best structure of this formula in the dataset = 0.000 eV per atom; DOS at the Fermi energy = 1.663 states/eV/cell
1.0
-1.293 -2.801 -3.851
2.208 -4.351 -0.737
-2.502 -4.191 0.727
Zn In Pm
2 1 1
Direct
0.250 0.250 0.250 Zn
0.750 0.750 0.750 Zn
0.000 0.000 0.000 In
0.500 0.500 0.500 Pm

PBE-GGA ZnCd4Te, relaxed; theoretical density = 7.2 g/cm3; formation energy without anion corrections = 0.194 eV per atom; DOS at the Fermi energy = 3.517 states/eV/cell
1.0
0.000 4.207 4.207
4.207 0.000 4.207
4.207 4.207 0.000
Zn Cd Te
1 4 1
Direct
0.000 0.000 0.000 Zn
0.876 0.375 0.375 Cd
0.375 0.375 0.876 Cd
0.375 0.876 0.375 Cd
0.375 0.375 0.375 Cd
0.750 0.750 0.750 Te

PBE-GGA Mg13Hg2, relaxed; theoretical density = 3.5 g/cm3; E = -1.48 eV/atom; DOS at the Fermi energy = 5.126 states/eV/cell
1.0
-1.569 0.179 -5.454
5.966 -4.775 -1.351
-7.781 -3.474 2.030
Mg Hg
13 2
Direct
0.672 0.663 0.998 Mg
0.328 0.337 0.002 Mg
0.000 0.000 0.000 Mg
0.278 0.084 0.596 Mg
0.722 0.916 0.404 Mg
0.158 0.537 0.772 Mg
0.842 0.463 0.228 Mg
0.346 0.578 0.408 Mg
0.654 0.422 0.592 Mg
0.488 0.881 0.797 Mg
0.512 0.119 0.203 Mg
0.811 0.225 0.811 Mg
0.189 0.775 0.189 Mg
0.949 0.781 0.621 Hg
0.051 0.219 0.379 Hg

PBE-GGA TcTe2P, relaxed; theoretical density = 6.6 g/cm3; formation energy without anion corrections = 0.021 eV per atom; DOS at the Fermi energy = 2.305 states/eV/cell
1.0
-3.181 -0.984 -2.592
-2.011 -3.592 -0.929
-5.124 1.159 5.421
Tc Te P
1 2 1
Direct
0.250 0.250 0.334 Tc
0.972 0.972 0.094 Te
0.732 0.732 0.666 Te
0.546 0.546 0.406 P

PBE-GGA InOsPt, relaxed; theoretical density = 15.2 g/cm3; excess energy over the best structure of this formula in the dataset = 0.128 eV per atom; DOS at the Fermi energy = 10.504 states/eV/cell
1.0
-4.609 5.241 -4.548
1.199 -1.038 -2.411
-5.941 -6.997 0.056
In Os Pt
4 4 4
Direct
0.491 0.000 0.055 In
0.491 0.500 0.555 In
0.087 0.000 0.228 In
0.087 0.500 0.728 In
0.795 0.000 0.639 Os
0.795 0.500 0.139 Os
0.913 0.000 0.932 Os
0.913 0.500 0.432 Os
0.645 0.000 0.345 Pt
0.645 0.500 0.845 Pt
0.206 0.000 0.512 Pt
0.206 0.500 0.012 Pt